(i)
Computed, not measured: a geometry-optimized LiZrCu structure at the PBE-GGA level of DFT.

The structure belongs to space group P3m1 (No. 156); the cell edges are 2.9942, 2.9942 and 6.9239 Å and the angles 90.00°, 90.00° and 120.00°. The asymmetric unit holds Li at (0.0000, 0.0000, 0.0000), Zr at (0.6667, 0.3333, 0.3876) and Cu at (0.3333, 0.6667, 0.7097).

(ii)
Computed, not measured: a geometry-optimized LiZrCu structure at the PBE-GGA level of DFT.

The structure belongs to space group P-6m2 (No. 187); the cell edges are 4.4311, 4.4311 and 2.8660 Å and the angles 90.00°, 90.00° and 120.00°. The asymmetric unit holds Li at (0.0000, 0.0000, 0.0000), Zr at (0.3333, 0.6667, 0.5000) and Cu at (0.6667, 0.3333, 0.0000).

Result of the stability comparison: (i) is the least stable of them.

(i)
Computed, not measured: a geometry-optimized Lu2MnCu structure at the PBE-GGA level of DFT.

The structure belongs to space group P4/mmm (No. 123); the cell edges are 3.358, 3.358 and 7.011 Å and the angles 90.00°, 90.00° and 90.00°. The asymmetric unit holds Lu at (0.000, 0.000, 0.248), Mn at (0.500, 0.500, 0.500) and Cu at (0.500, 0.500, 0.000).

(ii)
Computed, not measured: a geometry-optimized Lu2MnCu structure at the PBE-GGA level of DFT.

The structure belongs to space group R-3m (No. 166, hexagonal axes); the cell edges are 3.3620, 3.3620 and 26.0589 Å and the angles 90.00°, 90.00° and 120.00°. The asymmetric unit holds Lu at (0.0000, 0.0000, 0.2473), Mn at (0.0000, 0.0000, 0.0000) and Cu at (0.0000, 0.0000, 0.5000).

Result of the stability comparison: (ii) is the least stable of them.

(i)
Computed, not measured: a geometry-optimized LuCuNi2 structure at the PBE-GGA level of DFT.

The structure belongs to space group P4/mmm (No. 123); the cell edges are 3.216, 3.216 and 5.591 Å and the angles 90.00°, 90.00° and 90.00°. The asymmetric unit holds Lu at (0.000, 0.000, 0.000), Cu at (0.000, 0.000, 0.500) and Ni at (0.500, 0.500, 0.282).

(ii)
Computed, not measured: a geometry-optimized LuCuNi2 structure at the PBE-GGA level of DFT.

The structure belongs to space group P4/mmm (No. 123); the cell edges are 3.931, 3.931 and 3.660 Å and the angles 90.00°, 90.00° and 90.00°. The asymmetric unit holds Lu at (0.000, 0.000, 0.000), Cu at (0.500, 0.500, 0.000) and Ni at (0.000, 0.500, 0.500).

Result of the stability comparison: (i) is the least stable of them.

(i)
Computed, not measured: a geometry-optimized LuCuNi2 structure at the PBE-GGA level of DFT.

The structure belongs to space group R-3m (No. 166, hexagonal axes); the cell edges are 4.0800, 4.0800 and 12.8663 Å and the angles 90.00°, 90.00° and 120.00°. The asymmetric unit holds Lu at (0.0000, 0.0000, 0.0000), Cu at (0.0000, 0.0000, 0.5000) and Ni at (0.0000, 0.0000, 0.2042).

(ii)
Computed, not measured: a geometry-optimized LuCuNi2 structure at the PBE-GGA level of DFT.

The structure belongs to space group Fm-3m (No. 225); the cell edges are 6.125, 6.125 and 6.125 Å and the angles 90.00°, 90.00° and 90.00°. The asymmetric unit holds Lu at (0.000, 0.000, 0.000), Cu at (0.000, 0.000, 0.500) and Ni at (0.250, 0.250, 0.250).

Result of the stability comparison: (ii) is the least stable of them.